No. 1
Here is a crystal of Ru4Rh5 relaxed with PBEsol from Alexandria. Energies are from meta-GGA SCAN.

The structure belongs to space group I4/mmm (No. 139); the cell edges are 7.999, 7.999 and 3.768 Å and the angles 90.00°, 90.00° and 90.00°. The distinct sites, in fractional coordinates, are Ru at (0.000, 0.339, 0.000), Rh at (0.000, 0.000, 0.000) and Rh at (0.168, 0.168, 0.500).

The value obtained for the energy is -615.99 eV/cell. The value obtained for the energy of formation is 0.2 eV per formula unit. As for the volume: 241 Å³ per cell.


No. 2
Here is a crystal of RuRh2 relaxed with PBEsol from Alexandria. Energies are from meta-GGA SCAN.

The structure belongs to space group Pnma (No. 62); the cell edges are 5.337, 3.756 and 8.025 Å and the angles 90.00°, 90.00° and 90.00°. The distinct sites, in fractional coordinates, are Ru at (0.121, 0.250, 0.079), Rh at (0.125, 0.250, 0.416) and Rh at (0.125, 0.250, 0.754).

The value obtained for the energy is -409.21 eV/cell. Its energy relative to the lowest polymorph listed for this composition is 16 meV per atom. The value obtained for the energy of formation is 0.1 eV per formula unit. As for the volume: 161 Å³ per cell.


No. 3
Here is a crystal of RuRh2 relaxed with PBEsol from Alexandria. Energies are from meta-GGA SCAN.

The structure belongs to space group I4_1/amd (No. 141, origin choice 2); the cell edges are 3.771, 3.771 and 22.615 Å and the angles 90.00°, 90.00° and 90.00°. The distinct sites, in fractional coordinates, are Ru at (0.000, 0.250, 0.290), Rh at (0.000, 0.250, 0.124) and Rh at (0.000, 0.250, 0.791).

The value obtained for the energy is -818.19 eV/cell. Its energy relative to the lowest polymorph listed for this composition is 26 meV per atom. The value obtained for the energy of formation is 0.1 eV per formula unit. As for the volume: 322 Å³ per cell.


No. 4
Here is a crystal of RuRh2 relaxed with PBEsol from Alexandria. Energies are from meta-GGA SCAN.

The structure belongs to space group I4/mmm (No. 139); the cell edges are 2.665, 2.665 and 11.328 Å and the angles 90.00°, 90.00° and 90.00°. The distinct sites, in fractional coordinates, are Ru at (0.000, 0.000, 0.000) and Rh at (0.000, 0.000, 0.337).

The value obtained for the energy is -204.70 eV/cell. Its energy relative to the lowest polymorph listed for this composition is 0 meV per atom. The value obtained for the energy of formation is 0.0 eV per formula unit. As for the volume: 80 Å³ per cell.


No. 5
Here is a crystal of Ru2Rh relaxed with PBEsol from Alexandria. Energies are from meta-GGA SCAN.

The structure belongs to space group I4_1/amd (No. 141, origin choice 2); the cell edges are 3.768, 3.768 and 22.565 Å and the angles 90.00°, 90.00° and 90.00°. The distinct sites, in fractional coordinates, are Ru at (0.000, 0.250, 0.124), Ru at (0.000, 0.250, 0.292) and Rh at (0.000, 0.250, 0.793).

The value obtained for the energy is -825.65 eV/cell. Its energy relative to the lowest polymorph listed for this composition is 64 meV per atom. The value obtained for the energy of formation is 0.2 eV per formula unit. As for the volume: 320 Å³ per cell.


No. 6
Here is a crystal of RuRh2 relaxed with PBEsol from Alexandria. Energies are from meta-GGA SCAN.

The structure belongs to space group C2/m (No. 12); the cell edges are 9.749, 2.687 and 6.337 Å and the angles 90.00°, 104.14° and 90.00°. The distinct sites, in fractional coordinates, are Ru at (0.197, 0.000, 0.138), Rh at (0.028, 0.500, 0.810) and Rh at (0.141, 0.000, 0.532).

The value obtained for the energy is -409.18 eV/cell. Its energy relative to the lowest polymorph listed for this composition is 19 meV per atom. The value obtained for the energy of formation is 0.1 eV per formula unit. As for the volume: 161 Å³ per cell.


No. 7
Here is a crystal of RuRh4 relaxed with PBEsol from Alexandria. Energies are from meta-GGA SCAN.

The structure belongs to space group R-3m (No. 166, hexagonal axes); the cell edges are 2.6667, 2.6667 and 32.7026 Å and the angles 90.00°, 90.00° and 120.00°. The distinct sites, in fractional coordinates, are Ru at (0.0000, 0.0000, 0.0000), Rh at (0.0000, 0.0000, 0.1999) and Rh at (0.0000, 0.0000, 0.3991).

The value obtained for the energy is -509.51 eV/cell. Its energy relative to the lowest polymorph listed for this composition is 0 meV per atom. The value obtained for the energy of formation is 0.1 eV per formula unit. As for the volume: 201 Å³ per cell.


No. 8
Here is a crystal of RuRhS4 relaxed with PBEsol from Alexandria. Energies are from meta-GGA SCAN.

The structure belongs to space group P2_1/c (No. 14); the cell edges are 5.601, 5.608 and 5.609 Å and the angles 90.00°, 90.06° and 90.00°. The distinct sites, in fractional coordinates, are Ru at (0.000, 0.000, 0.000), Rh at (0.500, 0.000, 0.500), S at (0.113, 0.119, 0.619) and S at (0.379, 0.616, 0.615).

The value obtained for the energy is -221.03 eV/cell. As for the volume: 176 Å³ per cell.


No. 9
Here is a crystal of SbRuRh2 relaxed with PBEsol from Alexandria. Energies are from meta-GGA SCAN.

The structure belongs to space group Cmmm (No. 65); the cell edges are 5.434, 7.651 and 2.876 Å and the angles 90.00°, 90.00° and 90.00°. The distinct sites, in fractional coordinates, are Sb at (0.000, 0.000, 0.000), Ru at (0.000, 0.500, 0.000) and Rh at (0.250, 0.250, 0.500).

The value obtained for the energy is -278.97 eV/cell. As for the volume: 120 Å³ per cell.


No. 10
Here is a crystal of SbRuRh2 relaxed with PBEsol from Alexandria. Energies are from meta-GGA SCAN.

The structure belongs to space group R-3m (No. 166, hexagonal axes); the cell edges are 2.8979, 2.8979 and 25.3731 Å and the angles 90.00°, 90.00° and 120.00°. The distinct sites, in fractional coordinates, are Sb at (0.0000, 0.0000, 0.0000), Ru at (0.0000, 0.0000, 0.5000) and Rh at (0.0000, 0.0000, 0.2490).

The value obtained for the energy is -415.46 eV/cell. As for the volume: 185 Å³ per cell.


No. 11
Here is a crystal of SbRu2Rh relaxed with PBEsol from Alexandria. Energies are from meta-GGA SCAN.

The structure belongs to space group P2/m (No. 10); the cell edges are 2.861, 4.043 and 5.384 Å and the angles 90.00°, 101.86° and 90.00°. The distinct sites, in fractional coordinates, are Sb at (0.000, 0.000, 0.000), Ru at (0.394, 0.500, 0.261) and Rh at (0.000, 0.000, 0.500).

The value obtained for the energy is -139.79 eV/cell. As for the volume: 61 Å³ per cell.


No. 12
Here is a crystal of SbRuRh2 relaxed with PBEsol from Alexandria. Energies are from meta-GGA SCAN.

The structure belongs to space group P4mm (No. 99); the cell edges are 2.925, 2.925 and 7.091 Å and the angles 90.00°, 90.00° and 90.00°. The distinct sites, in fractional coordinates, are Sb at (0.000, 0.000, 0.000), Ru at (0.500, 0.500, 0.738), Rh at (0.000, 0.000, 0.507) and Rh at (0.500, 0.500, 0.248).

The value obtained for the energy is -138.78 eV/cell. As for the volume: 61 Å³ per cell.